DFT (PBE-GGA) results for crystalline Er6C3S2O at its relaxed geometry.

Structure (extended XYZ):
```
12
Lattice="3.620 0.000 0.000 0.000 7.393 0.179 -1.810 -2.221 7.713" Properties=species:S:1:pos:R:3 pbc="T T T"
Er 0.000 5.482 5.279
Er 1.810 3.781 2.515
Er 1.810 -0.310 2.613
Er 1.810 -0.319 7.645
Er 0.000 5.491 0.247
Er 0.000 1.391 5.377
C 1.810 3.697 0.090
C 1.810 -0.288 5.208
C 0.000 5.460 2.684
S 1.810 3.448 5.258
S 0.000 1.724 2.634
O 1.810 0.000 0.000
```

Properties
ΔE_f (raw), eV per atom: -1.414
DOS(E_F), states/eV/f.u.: 1.4
Magnetic moment, μB/atom: 0.000

=====

DFT (PBE-GGA) results for crystalline Er3CSO at its relaxed geometry.

Structure (extended XYZ):
```
12
Lattice="3.634 0.000 0.000 0.000 7.595 0.252 0.000 -1.757 8.297" Properties=species:S:1:pos:R:3 pbc="T T T"
Er 2.726 6.762 1.392
Er 0.909 -0.924 7.156
Er 0.909 5.241 4.243
Er 2.726 0.597 4.306
Er 2.726 2.522 1.449
Er 0.909 3.316 7.100
C 0.909 0.884 1.383
C 2.726 4.954 7.166
S 0.909 4.627 1.495
S 2.726 1.211 7.054
O 0.909 -0.349 4.972
O 2.726 6.187 3.576
```

Properties
ΔE_f (raw), eV per atom: -1.695
DOS(E_F), states/eV/f.u.: 0.8
Magnetic moment, μB/atom: 0.000

=====

DFT (PBE-GGA) results for crystalline Er2Sc2C2O at its relaxed geometry.

Structure (extended XYZ):
```
7
Lattice="3.260 0.000 0.000 1.630 6.362 0.114 1.630 2.523 5.335" Properties=species:S:1:pos:R:3 pbc="T T T"
Er 3.260 3.409 3.816
Er 3.260 5.476 1.633
Sc 3.260 6.654 4.510
Sc 3.260 2.231 0.939
C 1.630 3.625 1.466
C 4.890 5.260 3.982
O 0.000 0.000 0.000
```

Properties
ΔE_f (raw), eV per atom: -0.971
DOS(E_F), states/eV/f.u.: 3.5
Magnetic moment, μB/atom: 0.000